{
  "formula": "KLaSn2I8",
  "functional": "PBE",
  "state": "optimized geometry",
  "dos_at_fermi_per_ev_fu": 0.000,
  "e_form_raw_mev_per_atom": -969,
  "e_tot_ha_per_atom": -0.1166,
  "cell": [[-1.695, -6.093, 4.708], [7.203, -1.054, 1.426], [-0.609, 5.999, 7.548]],
  "species": ["I", "I", "I", "I", "I", "I", "I", "I", "La", "Sn", "Sn", "K"],
  "fractional_positions": [[0.840, 0.256, 0.230], [0.160, 0.744, 0.770], [0.333, 0.246, 0.000], [0.840, 0.256, 0.769], [0.634, 0.730, 0.500], [0.667, 0.754, 0.000], [0.366, 0.270, 0.500], [0.160, 0.744, 0.231], [0.000, 0.000, 0.000], [0.500, 0.500, 0.254], [0.500, 0.500, 0.746], [0.000, 0.000, 0.500]]
}

---

{
  "formula": "TiGeS2N",
  "functional": "PBE",
  "state": "optimized geometry",
  "polymorph_energy_mev_per_atom": 0.0,
  "dos_at_fermi_per_ev_fu": 1.909,
  "e_form_raw_mev_per_atom": -119,
  "e_tot_ha_per_atom": -0.2182,
  "cell": [[-1.558, 0.208, -4.596], [-4.247, -1.932, 1.352], [-1.382, 3.475, 0.625]],
  "species": ["N", "S", "S", "Ge", "Ti"],
  "fractional_positions": [[0.000, 0.000, 0.500], [0.500, 0.000, 0.000], [0.000, 0.500, 0.000], [0.500, 0.500, 0.500], [0.000, 0.000, 0.000]]
}